Ac4Tl5Cd2 | GGA-PBE | optimized geometry

Space group: No. 10
Fermi-level density of states, states/eV/atom: 0.76
Energy of formation, eV/atom: -0.299
Total moment, μB per cell: 0.00

a = 4.015 Å, b = 8.980 Å, c = 10.274 Å
α = 87.17°, β = 90.00°, γ = 90.00°
Positions (direct):
1 Ac 0.500 0.735 0.637
2 Ac 0.500 0.223 0.864
3 Ac 0.500 0.265 0.363
4 Ac 0.500 0.777 0.136
5 Tl 0.000 0.584 0.363
6 Tl 0.000 0.111 0.126
7 Tl 0.000 0.500 0.000
8 Tl 0.000 0.889 0.874
9 Tl 0.000 0.416 0.637
10 Cd 0.000 0.078 0.615
11 Cd 0.000 0.922 0.385